First-principles (GGA-PBE) data for crystalline La6In5Sn at its relaxed geometry, as listed in the Alexandria database.

Lattice parameters (Å, degrees): 5.5962 16.8462 7.8528 90.00 90.00 90.00
Space group Cmmm (No. 65)
One atom of each set of equivalent atoms:
1 La 0.0000 0.0000 0.2464 (multiplicity 4)
2 La 0.0000 0.3353 0.2514 (multiplicity 8)
3 In 0.0000 0.1669 0.5000 (multiplicity 4)
4 In 0.0000 0.1719 0.0000 (multiplicity 4)
5 In 0.0000 0.5000 0.5000 (multiplicity 2)
6 Sn 0.0000 0.5000 0.0000 (multiplicity 2)

## Properties
As for the energy of formation from the pure elements: -6.62 eV per formula unit. The calculated volume is 740.3 Å³ per cell. Its crystal system is orthorhombic.


First-principles (GGA-PBE) data for crystalline KTc2Ru at its relaxed geometry, as listed in the Alexandria database.

Lattice parameters (Å, degrees): 6.3830 6.3830 6.3830 90.00 90.00 90.00
Space group Fm-3m (No. 225)
One atom of each set of equivalent atoms:
1 K 0.0000 0.0000 0.0000 (multiplicity 4)
2 Tc 0.2500 0.2500 0.2500 (multiplicity 8)
3 Ru 0.0000 0.0000 0.5000 (multiplicity 4)

## Properties
As for the energy of formation from the pure elements: 5.83 eV per formula unit. The calculated volume is 260.1 Å³ per cell. Its crystal system is cubic. The energy relative to the lowest polymorph listed for this composition comes out at 0.708 eV per atom.


First-principles (GGA-PBE) data for crystalline Tm6Sn2C at its relaxed geometry, as listed in the Alexandria database.

Lattice parameters (Å, degrees): 6.4337 6.4337 13.0243 90.00 90.00 90.00
Space group P4_2/mnm (No. 136)
One atom of each set of equivalent atoms:
1 Tm 0.1864 0.1864 0.1280 (multiplicity 8)
2 Tm 0.2184 0.2184 0.5000 (multiplicity 4)
3 Sn 0.0000 0.0000 0.3192 (multiplicity 4)
4 C 0.0000 0.0000 0.0000 (multiplicity 2)

## Properties
As for the energy of formation from the pure elements: -1.42 eV per formula unit. The calculated volume is 539.1 Å³ per cell. Its crystal system is tetragonal.


First-principles (GGA-PBE) data for crystalline Sc6AlRu at its relaxed geometry, as listed in the Alexandria database.

Lattice parameters (Å, degrees): 4.5906 4.5906 16.2157 90.00 90.00 90.00
Space group I4/mmm (No. 139)
One atom of each set of equivalent atoms:
1 Sc 0.0000 0.0000 0.2473 (multiplicity 4)
2 Sc 0.0000 0.5000 0.1031 (multiplicity 8)
3 Al 0.0000 0.0000 0.0000 (multiplicity 2)
4 Ru 0.0000 0.0000 0.5000 (multiplicity 2)

## Properties
As for the energy of formation from the pure elements: -1.86 eV per formula unit. The calculated volume is 341.7 Å³ per cell. Its crystal system is tetragonal.


First-principles (GGA-PBE) data for crystalline Sm5Sb4As at its relaxed geometry, as listed in the Alexandria database.

Lattice parameters (Å, degrees): 4.4265 4.4265 31.2362 90.00 90.00 90.00
Space group I4/mmm (No. 139)
One atom of each set of equivalent atoms:
1 Sm 0.0000 0.0000 0.0000 (multiplicity 2)
2 Sm 0.0000 0.0000 0.2002 (multiplicity 4)
3 Sm 0.0000 0.0000 0.4047 (multiplicity 4)
4 Sb 0.0000 0.0000 0.0994 (multiplicity 4)
5 Sb 0.0000 0.0000 0.3017 (multiplicity 4)
6 As 0.0000 0.0000 0.5000 (multiplicity 2)

## Properties
The calculated volume is 612.0 Å³ per cell. The calculation puts the uncorrected formation energy at -28.34 kcal/mol of atoms. Its crystal system is tetragonal.


First-principles (GGA-PBE) data for crystalline TlCdTe at its relaxed geometry, as listed in the Alexandria database.

Lattice parameters (Å, degrees): 8.4734 6.5709 7.2053 90.00 94.50 90.00
Space group P2_1/c (No. 14)
One atom of each set of equivalent atoms:
1 Tl 0.1412 0.0040 0.3024 (multiplicity 4)
2 Cd 0.4774 0.6983 0.0611 (multiplicity 4)
3 Te 0.2608 0.5040 0.3717 (multiplicity 4)

## Properties
The calculated volume is 399.9 Å³ per cell. The calculation puts the uncorrected formation energy at -5.08 kcal/mol of atoms. Its crystal system is monoclinic. The energy relative to the lowest polymorph listed for this composition comes out at 0.000 eV per atom.


First-principles (GGA-PBE) data for crystalline YTc2Os at its relaxed geometry, as listed in the Alexandria database.

Lattice parameters (Å, degrees): 6.4425 6.4425 6.4425 90.00 90.00 90.00
Space group Fm-3m (No. 225)
One atom of each set of equivalent atoms:
1 Y 0.0000 0.0000 0.0000 (multiplicity 4)
2 Tc 0.2500 0.2500 0.2500 (multiplicity 8)
3 Os 0.0000 0.0000 0.5000 (multiplicity 4)

## Properties
As for the energy of formation from the pure elements: 1.27 eV per formula unit. The calculated volume is 267.4 Å³ per cell. Its crystal system is cubic. The energy relative to the lowest polymorph listed for this composition comes out at 0.331 eV per atom.


First-principles (GGA-PBE) data for crystalline NpAlZn at its relaxed geometry, as listed in the Alexandria database.

Lattice parameters (Å, degrees): 4.2468 4.2468 21.8715 90.00 90.00 120.00
Space group R-3m (No. 166, hexagonal axes)
One atom of each set of equivalent atoms:
1 Np 0.0000 0.0000 0.1540 (multiplicity 6)
2 Al 0.0000 0.0000 0.2930 (multiplicity 6)
3 Zn 0.0000 0.0000 0.4111 (multiplicity 6)

## Properties
As for the energy of formation from the pure elements: 0.48 eV per formula unit. The calculated volume is 341.6 Å³ per cell. Its crystal system is trigonal.